Entry 1:
Density functional theory data (GGA-PBE) for a geometry-optimized SiB3H structure.

Geometry as POSCAR:
```
SiB3H
1.0
3.2598 0.0000 0.0000
0.0000 3.2598 0.0000
0.0000 0.0000 3.2598
Si B H
1 3 1
Cartesian
0.0000 0.0000 0.0000 Si
0.0000 1.6299 1.6299 B
1.6299 0.0000 1.6299 B
1.6299 1.6299 0.0000 B
1.6299 1.6299 1.6299 H
```

Excess energy over the best structure of this formula in the dataset ... 0.000 eV/atom
Mass density ... 2.9 g/cm3
E_tot ... -4.250 eV per atom


Entry 2:
Density functional theory data (GGA-PBE) for a geometry-optimized SiBH structure.

Geometry as POSCAR:
```
SiBH
1.0
3.4527 0.0000 0.0000
-1.7217 2.9951 0.0000
-1.6909 -0.9910 3.2951
Si B H
1 1 1
Cartesian
0.0000 0.0000 0.0000 Si
0.0370 0.0101 2.9914 B
0.2282 0.0249 1.7077 H
```

Excess energy over the best structure of this formula in the dataset ... 0.114 eV/atom
Mass density ... 1.9 g/cm3
E_tot ... -4.896 eV per atom


Entry 3:
Density functional theory data (GGA-PBE) for a geometry-optimized SiBH structure.

Geometry as POSCAR:
```
SiBH
1.0
2.9624 0.0000 0.0000
1.4803 3.0989 0.0000
1.3906 0.2934 7.9643
Si B H
2 2 2
Cartesian
0.7402 1.1075 1.3312 Si
5.0932 2.2848 6.6331 Si
2.1314 0.4077 7.4208 B
3.7020 2.9846 0.5434 B
2.1305 2.5067 5.1384 H
3.7029 0.8856 2.8259 H
```

Excess energy over the best structure of this formula in the dataset ... 0.019 eV/atom
Mass density ... 1.8 g/cm3
E_tot ... -4.990 eV per atom


Entry 4:
Density functional theory data (GGA-PBE) for a geometry-optimized TaSiB2H structure.

Geometry as POSCAR:
```
TaSiB2H
1.0
4.3269 0.0000 0.0000
0.0000 4.3269 0.0000
0.0000 0.0000 4.9496
Ta Si B H
1 1 2 1
Cartesian
0.0000 0.0000 0.0000 Ta
0.0000 0.0000 2.4748 Si
0.0000 2.1634 0.0000 B
2.1634 0.0000 0.0000 B
2.1634 2.1634 2.4748 H
```

Mass density ... 4.2 g/cm3
E_tot ... -5.006 eV per atom


Entry 5:
Density functional theory data (GGA-PBE) for a geometry-optimized SiTcB2H structure.

Geometry as POSCAR:
```
SiTcB2H
1.0
3.7144 0.0000 0.0000
0.0000 3.7144 0.0000
0.0000 0.0000 3.0866
Si Tc B H
1 1 2 1
Cartesian
0.0000 0.0000 0.0000 Si
1.8572 1.8572 0.0000 Tc
0.0000 1.8572 1.5433 B
1.8572 0.0000 1.5433 B
0.0000 0.0000 1.5433 H
```

Mass density ... 5.8 g/cm3
E_tot ... -5.655 eV per atom


Entry 6:
Density functional theory data (GGA-PBE) for a geometry-optimized ZrSi2BH structure.

Geometry as POSCAR:
```
ZrSi2BH
1.0
3.6154 0.0000 0.0000
0.0000 3.6154 0.0000
0.0000 0.0000 4.6529
Zr Si B H
1 2 1 1
Cartesian
0.0000 0.0000 0.0000 Zr
0.0000 1.8077 2.3265 Si
1.8077 0.0000 2.3265 Si
1.8077 1.8077 0.0000 B
0.0000 0.0000 2.3265 H
```

Mass density ... 4.3 g/cm3
E_tot ... -5.456 eV per atom